1.
The following is a PBE calculation of Pu6As5Cl after structural relaxation, from Alexandria via LeMat-Bulk.

Geometry as POSCAR:
```
Pu6As5Cl
1.0
3.591 -6.218 0.000
3.591 6.218 0.000
-2.390 0.000 6.768
Pu As Cl
6 5 1
Direct
0.079 0.415 0.747 Pu
0.247 0.247 0.252 Pu
0.415 0.079 0.747 Pu
0.585 0.921 0.253 Pu
0.753 0.753 0.748 Pu
0.921 0.585 0.253 Pu
0.000 0.000 0.500 As
0.167 0.833 0.000 As
0.335 0.665 0.500 As
0.665 0.335 0.500 As
0.833 0.167 0.000 As
0.500 0.500 0.000 Cl
```

Properties
Energy   -10.351 eV/atom
Spin magnetization   31.79 μB/f.u.
SG   C2/m, No. 12
ρ   10.298 Mg/m³


2.
The following is a PBE calculation of PRu after structural relaxation, from Alexandria via LeMat-Bulk.

Geometry as POSCAR:
```
PRu
1.0
-3.554 3.554 3.554
3.554 -3.554 3.554
3.554 3.554 -3.554
P Ru
4 4
Direct
0.000 0.000 0.643 P
0.000 0.643 0.000 P
0.357 0.357 0.357 P
0.643 0.000 0.000 P
0.000 0.000 0.279 Ru
0.000 0.279 0.000 Ru
0.279 0.000 0.000 Ru
0.721 0.721 0.721 Ru
```

Properties
Energy   -7.567 eV/atom
Spin magnetization   0.00 μB/f.u.
SG   I-43m, No. 217
ρ   4.883 Mg/m³


3.
The following is a PBE calculation of Tm3Cu2Os after structural relaxation, from Alexandria via LeMat-Bulk.

Geometry as POSCAR:
```
Tm3Cu2Os
1.0
3.386 0.000 0.000
0.000 3.386 0.000
0.000 0.000 10.294
Tm Cu Os
3 2 1
Direct
0.000 0.000 0.000 Tm
0.000 0.000 0.340 Tm
0.000 0.000 0.660 Tm
0.500 0.500 0.166 Cu
0.500 0.500 0.834 Cu
0.500 0.500 0.500 Os
```

Properties
Energy   -5.786 eV/atom
Spin magnetization   0.00 μB/f.u.
SG   P4/mmm, No. 123
ρ   11.594 Mg/m³